Below is crystalline Th2Ge4Ru5 at its relaxed geometry, with properties calculated at the PBE level.

ΔE_f: -506 meV per atom

Cell lengths 5.779, 9.717, 14.532 Å; angles 90.00, 90.00, 90.00 degrees
Space group Fmmm (No. 69)
One atom of each set of equivalent atoms:
Th 0.000 0.000 0.125 [8 per cell]
Ge 0.000 0.157 0.369 [16 per cell]
Ru 0.000 0.000 0.500 [4 per cell]
Ru 0.250 0.250 0.000 [8 per cell]
Ru 0.250 0.250 0.250 [8 per cell]

Below is crystalline ThGe2Ru at its relaxed geometry, with properties calculated at the PBE level.

ΔE_f: -675 meV per atom

Cell lengths 6.940, 4.399, 10.488 Å; angles 90.00, 90.00, 90.00 degrees
Space group Pnma (No. 62)
One atom of each set of equivalent atoms:
Th 0.183 0.250 0.128 [4 per cell]
Ge 0.131 0.250 0.826 [4 per cell]
Ge 0.192 0.250 0.419 [4 per cell]
Ru 0.007 0.750 0.390 [4 per cell]

Below is crystalline ThGe3Ru3 at its relaxed geometry, with properties calculated at the PBE level.

ΔE_f: -210 meV per atom

Cell lengths 6.9033, 6.9033, 20.1783 Å; angles 90.00, 90.00, 120.00 degrees
Space group R-3 (No. 148, hexagonal axes)
One atom of each set of equivalent atoms:
Th 0.0000 0.0000 0.1692 [6 per cell]
Ge 0.0384 0.7571 0.5939 [18 per cell]
Ru 0.0277 0.7501 0.7169 [18 per cell]

Below is crystalline Th2Ge7Ru12 at its relaxed geometry, with properties calculated at the PBE level.

ΔE_f: -340 meV per atom

Cell lengths 9.8467, 9.8467, 4.0549 Å; angles 90.00, 90.00, 120.00 degrees
Space group P-6 (No. 174)
One atom of each set of equivalent atoms:
Th 0.0000 0.0000 0.0000 [1 per cell]
Th 0.3333 0.6667 0.5000 [1 per cell]
Ge 0.0670 0.4483 0.0000 [3 per cell]
Ge 0.2694 0.2299 0.5000 [3 per cell]
Ge 0.6667 0.3333 0.0000 [1 per cell]
Ru 0.0452 0.2811 0.5000 [3 per cell]
Ru 0.1023 0.7117 0.0000 [3 per cell]
Ru 0.3880 0.1839 0.0000 [3 per cell]
Ru 0.5595 0.4353 0.5000 [3 per cell]

Below is crystalline Th4GeRu at its relaxed geometry, with properties calculated at the PBE level.

ΔE_f: -443 meV per atom

Cell lengths 7.271, 7.271, 6.055 Å; angles 90.00, 90.00, 90.00 degrees
Space group P4/mcc (No. 124)
One atom of each set of equivalent atoms:
Th 0.155 0.327 0.000 [8 per cell]
Ge 0.500 0.500 0.250 [2 per cell]
Ru 0.000 0.000 0.250 [2 per cell]

Below is crystalline Th4GeRu at its relaxed geometry, with properties calculated at the PBE level.

ΔE_f: -123 meV per atom

Cell lengths 9.483, 9.483, 8.738 Å; angles 90.00, 90.00, 90.00 degrees
Space group I4_1md (No. 109)
One atom of each set of equivalent atoms:
Th 0.000 0.194 0.000 [8 per cell]
Th 0.000 0.206 0.480 [8 per cell]
Ge 0.000 0.000 0.735 [4 per cell]
Ru 0.000 0.000 0.247 [4 per cell]

Below is crystalline Th2Ge3Ru at its relaxed geometry, with properties calculated at the PBE level.

ΔE_f: -695 meV per atom

Cell lengths 8.321, 8.605, 14.707 Å; angles 90.00, 90.00, 90.00 degrees
Space group Fmmm (No. 69)
One atom of each set of equivalent atoms:
Th 0.241 0.000 0.000 [8 per cell]
Th 0.250 0.250 0.250 [8 per cell]
Ge 0.000 0.000 0.329 [8 per cell]
Ge 0.000 0.249 0.415 [16 per cell]
Ru 0.000 0.000 0.164 [8 per cell]

Below is crystalline ThGe12Ru4 at its relaxed geometry, with properties calculated at the PBE level.

ΔE_f: -48 meV per atom

Cell lengths 8.681, 8.681, 8.681 Å; angles 90.00, 90.00, 90.00 degrees
Space group Im-3 (No. 204)
One atom of each set of equivalent atoms:
Th 0.000 0.000 0.000 [2 per cell]
Ge 0.000 0.344 0.155 [24 per cell]
Ru 0.250 0.250 0.250 [8 per cell]